No. 1
This record from Alexandria describes a relaxed CdIn2PI crystal. The functional is GGA-PBEsol.

density of states at the Fermi level: 3.1 states/eV/cell
raw formation energy: 370 kJ/mol of formula units
space group: P4/mmm

abc: 5.4819 5.4819 5.6301
angles: 90.00 90.00 90.00
Site moments in Bohr magnetons follow the coordinates.
Positions (direct):
P: 0.5000 0.5000 0.5000  0.75
In: 0.5000 0.0000 0.0000  0.00
I: 0.0000 0.0000 0.5000  0.13
Cd: 0.0000 0.0000 0.0000  0.01
In: 0.0000 0.5000 0.0000  0.00

---

No. 2
This record from Alexandria describes a relaxed K4SrRh crystal. The functional is GGA-PBEsol.

density of states at the Fermi level: 3.6 states/eV/cell
space group: F-43m
formation energy: 769 meV/atom

abc: 7.0182 7.0182 7.0182
angles: 60.00 60.00 60.00
Positions (direct):
Sr: 0.0000 0.0000 0.0000
K: 0.8653 0.3782 0.3782
K: 0.3782 0.3782 0.3782
K: 0.3782 0.3782 0.8653
Rh: 0.7500 0.7500 0.7500
K: 0.3782 0.8653 0.3782

---

No. 3
This record from Alexandria describes a relaxed TeIr crystal. The functional is GGA-PBEsol.

density of states at the Fermi level: 1.6 states/eV/cell
raw formation energy: 147 kJ/mol of formula units
space group: Cmmm

abc: 3.0201 3.0201 4.6944
angles: 90.00 90.00 119.73
Positions (direct):
Ir: 0.0000 0.0000 0.0000
Te: 0.5000 0.5000 0.5000

---

No. 4
This record from Alexandria describes a relaxed CrCoRu2O crystal. The functional is GGA-PBEsol.

density of states at the Fermi level: 5.7 states/eV/cell
raw formation energy: 465 kJ/mol of formula units
space group: P4/mmm

abc: 3.2735 4.6242 4.6242
angles: 90.00 90.00 90.00
Site moments in Bohr magnetons follow the coordinates.
Positions (direct):
Ru: 0.0000 0.5000 0.0000  -1.44
O: 0.5000 0.0000 0.0000  -0.20
Cr: 0.5000 0.5000 0.5000  3.16
Co: 0.0000 0.0000 0.0000  -1.21
Ru: 0.0000 0.0000 0.5000  -1.44